Record 1
A plane-wave DFT calculation with PBE-GGA was carried out for crystalline TiNbN3 at its relaxed geometry.

crystal system = cubic
energy = -41.9 eV per cell
DOS at the Fermi energy = 1.9 states/eV per cell

Lattice parameters (Å, degrees): 3.818 3.818 3.818 90.00 90.00 90.00
Space group Pm-3m (No. 221)
One atom of each set of equivalent atoms:
Ti 0.000 0.000 0.000 [1 per cell]
Nb 0.500 0.500 0.500 [1 per cell]
N 0.000 0.000 0.500 [3 per cell]

=====

Record 2
A plane-wave DFT calculation with PBE-GGA was carried out for crystalline BeHPd at its relaxed geometry.

crystal system = tetragonal
ΔE to the lowest computed polymorph = 24.2 kJ/mol of atoms
DOS at the Fermi energy = 1.2 states/eV per cell

Lattice parameters (Å, degrees): 2.751 2.751 7.565 90.00 90.00 90.00
Space group I4mm (No. 107)
One atom of each set of equivalent atoms:
Be 0.000 0.000 0.000 [2 per cell]
H 0.000 0.000 0.554 [2 per cell]
Pd 0.000 0.000 0.318 [2 per cell]

=====

Record 3
A plane-wave DFT calculation with PBE-GGA was carried out for crystalline CaLaCeNd at its relaxed geometry.

crystal system = cubic
energy = -66.9 eV per cell
DOS at the Fermi energy = 49.6 states/eV per cell

Lattice parameters (Å, degrees): 8.355 8.355 8.355 90.00 90.00 90.00
Space group F-43m (No. 216)
One atom of each set of equivalent atoms:
Ca 0.000 0.000 0.000 [4 per cell]
La 0.250 0.250 0.750 [4 per cell]
Ce 0.000 0.000 0.500 [4 per cell]
Nd 0.250 0.250 0.250 [4 per cell]

=====

Record 4
A plane-wave DFT calculation with PBE-GGA was carried out for crystalline Ba3Ag2RhO6 at its relaxed geometry.

crystal system = trigonal
energy = -64.8 eV per cell
DOS at the Fermi energy = 6.9 states/eV per cell

Lattice parameters (Å, degrees): 6.0162 6.0162 6.8085 90.00 90.00 120.00
Space group P-3m1 (No. 164)
One atom of each set of equivalent atoms:
Ba 0.0000 0.0000 0.0000 [1 per cell]
Ba 0.3333 0.6667 0.6214 [2 per cell]
Ag 0.3333 0.6667 0.1258 [2 per cell]
Rh 0.0000 0.0000 0.5000 [1 per cell]
O 0.1590 0.3181 0.3274 [6 per cell]

=====

- What is the formula in the third record?
  CaLaCeNd

=====

- What is the DOS at the Fermi energy in the first record?
  1.9 states/eV per cell

=====

- The lowest DOS at the Fermi energy belongs to which entry?
  BeHPd